Entry from the Alexandria database: an optimized crystal structure of Co2SiHg (PBE).

## Properties
E_form (uncorrected) ... 5.747 kcal/mol of atoms
Distance to the lowest polymorph of the same formula ... 0.3472 eV/atom
E_tot ... -4.73 eV per atom

a = 5.9692 Å, b = 5.9692 Å, c = 5.9692 Å
α = 90.00°, β = 90.00°, γ = 90.00°
With the nearest neighbours (Å) after each atom.
Space group Fm-3m (No. 225)
Symmetry-distinct sites (fractional):
Co 0.2500 0.2500 0.2500 x8  4 Hg 2.58, 4 Si 2.58
Si 0.0000 0.0000 0.0000 x4  8 Co 2.58
Hg 0.0000 0.0000 0.5000 x4  8 Co 2.58